No. 1
KNiIr after structural relaxation, computed with PBE.

The value obtained for the volume is 17.42 Å³ per atom. As for the size of the total moment: 0.38 μB/f.u. Its formation enthalpy at 0 K is 2.3 eV/f.u. The value obtained for the density is 9.2 g cm⁻³. As for the density of states at the Fermi level: 5.00 states/eV/cell. The value obtained for the polymorph energy (0 for the lowest one) is 0.384 eV per atom. The total energy comes out at -13.42 eV per cell.

The space group is P3m1 (No. 156) and the conventional cell measures 2.8102, 2.8102 and 7.6430 Å, with angles of 90.00, 90.00 and 120.00 degrees. The distinct sites, in fractional coordinates, are K at (0.0000, 0.0000, 0.0000), Ni at (0.6667, 0.3333, 0.3720) and Ir at (0.3333, 0.6667, 0.6262).

---

No. 2
K2NiIr after structural relaxation, computed with PBE.

The value obtained for the volume is 34.09 Å³ per atom. As for the size of the total moment: 1.39 μB/f.u. Its formation enthalpy at 0 K is 1.7 eV/f.u. The value obtained for the density is 4.0 g cm⁻³. As for the density of states at the Fermi level: 5.40 states/eV/cell. The value obtained for the polymorph energy (0 for the lowest one) is 0.000 eV per atom. The total energy comes out at -30.36 eV per cell.

The space group is Cm (No. 8) and the conventional cell measures 7.0792, 4.0885 and 9.6670 Å, with angles of 90.00, 102.93 and 90.00 degrees. The distinct sites, in fractional coordinates, are K at (0.0000, 0.0000, 0.0000), K at (0.1546, 0.0000, 0.5062), Ni at (0.4104, 0.0000, 0.2532) and Ir at (0.2438, 0.5000, 0.2532).

---

No. 3
KNiIr2 after structural relaxation, computed with PBE.

The value obtained for the volume is 18.92 Å³ per atom. As for the size of the total moment: 0.00 μB/f.u. Its formation enthalpy at 0 K is 2.6 eV/f.u. The value obtained for the density is 10.6 g cm⁻³. As for the density of states at the Fermi level: 4.73 states/eV/cell. The value obtained for the polymorph energy (0 for the lowest one) is 0.000 eV per atom. The total energy comes out at -22.04 eV per cell.

The space group is Pmmm (No. 47) and the conventional cell measures 2.5914, 3.8017 and 7.6832 Å, with angles of 90.00, 90.00 and 90.00 degrees. The distinct sites, in fractional coordinates, are K at (0.0000, 0.0000, 0.0000), Ni at (0.0000, 0.0000, 0.5000) and Ir at (0.5000, 0.5000, 0.3358).

---

Copy entry 3 word for word.
KNiIr2 after structural relaxation, computed with PBE.

The value obtained for the volume is 18.92 Å³ per atom. As for the size of the total moment: 0.00 μB/f.u. Its formation enthalpy at 0 K is 2.6 eV/f.u. The value obtained for the density is 10.6 g cm⁻³. As for the density of states at the Fermi level: 4.73 states/eV/cell. The value obtained for the polymorph energy (0 for the lowest one) is 0.000 eV per atom. The total energy comes out at -22.04 eV per cell.

The space group is Pmmm (No. 47) and the conventional cell measures 2.5914, 3.8017 and 7.6832 Å, with angles of 90.00, 90.00 and 90.00 degrees. The distinct sites, in fractional coordinates, are K at (0.0000, 0.0000, 0.0000), Ni at (0.0000, 0.0000, 0.5000) and Ir at (0.5000, 0.5000, 0.3358).